DFT (PBE-GGA) results for a relaxed PmMg2ReN4 crystal.

total energy: -7.296 eV per atom
symmetry: No. 63

Cell lengths 3.305, 6.047, 11.022 Å; angles 90.00, 90.00, 105.86 degrees
Fractional positions:
N 0.000 0.000 0.000
N 0.724 0.448 0.618
Pm 0.075 0.150 0.750
Mg 0.387 0.774 0.971
N 0.584 0.167 0.250
Mg 0.613 0.226 0.029
N 0.276 0.552 0.118
Re 0.816 0.631 0.750
N 0.276 0.552 0.382
Mg 0.613 0.226 0.471
N 0.000 0.000 0.500
Re 0.184 0.369 0.250
Pm 0.925 0.850 0.250
N 0.724 0.448 0.882
Mg 0.387 0.774 0.529
N 0.416 0.833 0.750